The following is a DFT calculation (GGA-PBE) of YPOs2 after structural relaxation.

Cell: 5.1496 5.1496 5.2010 Å, 111.30 111.30 34.29°
Last column: nearest neighbours and their distance in Å.
Fractional coordinates of all 4 atoms:
Y  0.0000  0.0000  0.0000  7 Os 2.96-3.11, 2 Y 3.04, 3 P 3.06-3.09
P  0.7899  0.7899  0.3073  4 Os 2.36-2.45
Os  0.2281  0.2281  0.5921  2 P 2.36, 2 Os 2.62
Os  0.4990  0.4990  0.5112  2 P 2.45, 2 Os 2.62

Values from the calculation:
**Total magnetization**: 0.000 μB/f.u.
**Volume**: 72 Å³ per cell
**E**: -8.734 eV per atom


The following is a DFT calculation (GGA-PBE) of NiP after structural relaxation.

Cell: 6.5746 6.5746 6.5746 Å, 94.22 94.22 148.53°
Last column: nearest neighbours and their distance in Å.
Fractional coordinates of all 8 atoms:
Ni  0.1584  0.7123  0.8707  4 P 2.13-2.21
Ni  0.2877  0.1584  0.4461  4 P 2.13-2.21
Ni  0.7123  0.8416  0.5539  4 P 2.13-2.21
Ni  0.8416  0.2877  0.1293  4 P 2.13-2.21
P  0.0796  0.2921  0.3717  4 Ni 2.13-2.21
P  0.2921  0.9204  0.2125  4 Ni 2.13-2.21
P  0.7079  0.0796  0.7875  4 Ni 2.13-2.21
P  0.9204  0.7079  0.6283  4 Ni 2.13-2.21

Values from the calculation:
**Total magnetization**: 0.000 μB/f.u.
**Volume**: 143 Å³ per cell
**E**: -5.781 eV per atom


The following is a DFT calculation (GGA-PBE) of Li5Ca2Tl3 after structural relaxation.

Cell: 9.3869 9.3869 9.3869 Å, 97.91 94.84 141.08°
Last column: nearest neighbours and their distance in Å.
Fractional coordinates of all 20 atoms:
Li  0.1354  0.6343  0.7698  3 Tl 2.73-2.85, 2 Li 2.77
Li  0.2500  0.0064  0.7564  3 Li 2.77-3.00, 2 Tl 2.83
Li  0.2500  0.2500  0.0000  4 Tl 2.94, 4 Li 3.00-3.13
Li  0.2500  0.4936  0.2436  3 Li 2.77-3.00, 2 Tl 2.83
Li  0.3646  0.1343  0.4989  3 Tl 2.73-2.85, 2 Li 2.77
Li  0.6354  0.8657  0.5011  3 Tl 2.73-2.85, 2 Li 2.77
Li  0.7500  0.5064  0.7564  3 Li 2.77-3.00, 2 Tl 2.83
Li  0.7500  0.7500  0.0000  4 Tl 2.94, 4 Li 3.00-3.13
Li  0.7500  0.9936  0.2436  3 Li 2.77-3.00, 2 Tl 2.83
Li  0.8646  0.3657  0.2302  3 Tl 2.73-2.85, 2 Li 2.77
Ca  0.2404  0.3849  0.6252  6 Tl 3.34-3.71, 4 Li 3.35-3.47
Ca  0.2596  0.8849  0.1445  6 Tl 3.34-3.71, 4 Li 3.35-3.47
Ca  0.7404  0.1151  0.8555  6 Tl 3.34-3.71, 4 Li 3.35-3.47
Ca  0.7596  0.6151  0.3748  6 Tl 3.34-3.71, 4 Li 3.35-3.47
Tl  0.1497  0.1309  0.2806  5 Li 2.73-2.94
Tl  0.2500  0.7500  0.5000  6 Li 2.85-3.16, 2 Tl 3.13
Tl  0.3503  0.6309  0.9811  5 Li 2.73-2.94
Tl  0.6497  0.3691  0.0189  5 Li 2.73-2.94
Tl  0.7500  0.2500  0.5000  6 Li 2.85-3.16, 2 Tl 3.13
Tl  0.8503  0.8691  0.7194  5 Li 2.73-2.94

Values from the calculation:
**Total magnetization**: 0.000 μB/f.u.
**Volume**: 490 Å³ per cell
**E**: -2.253 eV per atom


The following is a DFT calculation (GGA-PBE) of AcHg2Cl after structural relaxation.

Cell: 10.8135 10.8135 10.8135 Å, 21.01 21.01 21.01°
Last column: nearest neighbours and their distance in Å.
Fractional coordinates of all 4 atoms:
Ac  0.0000  0.0000  0.0000  2 Hg 3.24
Hg  0.1021  0.1021  0.1021  3 Cl 3.06, 1 Ac 3.24
Hg  0.8979  0.8979  0.8979  3 Cl 3.06, 1 Ac 3.24
Cl  0.5000  0.5000  0.5000  6 Hg 3.06

Values from the calculation:
**Total magnetization**: 0.000 μB/f.u.
**Volume**: 142 Å³ per cell
**E**: -1.890 eV per atom
**Energy relative to the elements, uncorrected**: -0.25 eV per atom


The following is a DFT calculation (GGA-PBE) of HgSO5 after structural relaxation.

Cell: 9.9455 5.5814 7.5491 Å, 90.00 90.00 90.00°
Last column: nearest neighbours and their distance in Å.
Fractional coordinates of all 28 atoms:
Hg  0.1401  0.2500  0.2475  2 O 2.05-2.11
Hg  0.3599  0.7500  0.7475  2 O 2.05-2.11
Hg  0.6401  0.2500  0.2525  2 O 2.05-2.11
Hg  0.8599  0.7500  0.7525  2 O 2.05-2.11
S  0.1038  0.2500  0.8233  4 O 1.46-1.53
S  0.3962  0.7500  0.3233  4 O 1.46-1.53
S  0.6038  0.2500  0.6767  4 O 1.46-1.53
S  0.8962  0.7500  0.1767  4 O 1.46-1.53
O  0.0364  0.7500  0.1212  1 S 1.46
O  0.0437  0.2500  0.4869  1 Hg 2.05
O  0.1408  0.0304  0.7186  1 S 1.50
O  0.1408  0.4696  0.7186  1 S 1.50
O  0.2017  0.2500  0.9799  1 S 1.53
O  0.2983  0.7500  0.4799  1 S 1.53
O  0.3592  0.5304  0.2186  1 S 1.50
O  0.3592  0.9696  0.2186  1 S 1.50
O  0.4563  0.7500  0.9869  1 Hg 2.05
O  0.4636  0.2500  0.6212  1 S 1.46
O  0.5364  0.7500  0.3788  1 S 1.46
O  0.5437  0.2500  0.0131  1 Hg 2.05
O  0.6408  0.0304  0.7814  1 S 1.50
O  0.6408  0.4696  0.7814  1 S 1.50
O  0.7017  0.2500  0.5201  1 S 1.53
O  0.7983  0.7500  0.0201  1 S 1.53
O  0.8592  0.5304  0.2814  1 S 1.50
O  0.8592  0.9696  0.2814  1 S 1.50
O  0.9563  0.7500  0.5131  1 Hg 2.05
O  0.9636  0.2500  0.8788  1 S 1.46

Values from the calculation:
**Total magnetization**: 2.043 μB/f.u.
**Volume**: 419 Å³ per cell
**E**: -4.683 eV per atom
**Energy relative to the elements, uncorrected**: -0.51 eV per atom


The following is a DFT calculation (GGA-PBE) of ZrBr3 after structural relaxation.

Cell: 7.1802 7.1802 7.1802 Å, 152.37 67.55 119.73°
Last column: nearest neighbours and their distance in Å.
Fractional coordinates of all 4 atoms:
Zr  0.0000  0.0000  0.0000  6 Br 2.71
Br  0.0057  0.3537  0.6521  2 Zr 2.71
Br  0.2913  0.7913  0.5000  2 Zr 2.71
Br  0.7016  0.3537  0.3479  2 Zr 2.71

Values from the calculation:
**Total magnetization**: 0.271 μB/f.u.
**Volume**: 148 Å³ per cell
**E**: -4.684 eV per atom
**Energy relative to the elements, uncorrected**: -1.29 eV per atom


The following is a DFT calculation (GGA-PBE) of Co5Ni3 after structural relaxation.

Cell: 6.8947 6.8947 4.4218 Å, 90.00 90.00 120.00°
Last column: nearest neighbours and their distance in Å.
Fractional coordinates of all 16 atoms:
Co  0.0000  0.2125  0.2500  5 Ni 2.43-2.62, 6 Co 2.54-2.65
Co  0.0000  0.7875  0.7500  5 Ni 2.43-2.62, 6 Co 2.54-2.65
Co  0.2125  0.0000  0.2500  5 Ni 2.43-2.62, 6 Co 2.54-2.65
Co  0.2125  0.2125  0.7500  5 Ni 2.43-2.62, 6 Co 2.54-2.65
Co  0.3333  0.6667  0.0000  2 Co 2.21, 6 Ni 2.36
Co  0.3333  0.6667  0.5000  2 Co 2.21, 6 Ni 2.36
Co  0.6667  0.3333  0.0000  2 Co 2.21, 6 Ni 2.36
Co  0.6667  0.3333  0.5000  2 Co 2.21, 6 Ni 2.36
Co  0.7875  0.0000  0.7500  5 Ni 2.43-2.62, 6 Co 2.54-2.65
Co  0.7875  0.7875  0.2500  5 Ni 2.43-2.62, 6 Co 2.54-2.65
Ni  0.0000  0.4074  0.7500  9 Co 2.36-2.62, 2 Ni 2.55
Ni  0.0000  0.5926  0.2500  9 Co 2.36-2.62, 2 Ni 2.55
Ni  0.4074  0.0000  0.7500  9 Co 2.36-2.62, 2 Ni 2.55
Ni  0.4074  0.4074  0.2500  9 Co 2.36-2.62, 2 Ni 2.55
Ni  0.5926  0.0000  0.2500  9 Co 2.36-2.62, 2 Ni 2.55
Ni  0.5926  0.5926  0.7500  9 Co 2.36-2.62, 2 Ni 2.55

Values from the calculation:
**Total magnetization**: 10.476 μB/f.u.
**Polymorph energy (0 for the lowest one)**: 200 meV/atom
**Volume**: 182 Å³ per cell
**E**: -6.412 eV per atom


The following is a DFT calculation (GGA-PBE) of BeCrSi2 after structural relaxation.

Cell: 2.5375 2.5375 7.2382 Å, 90.00 90.00 90.00°
Last column: nearest neighbours and their distance in Å.
Fractional coordinates of all 4 atoms:
Be  0.0000  0.0000  0.0000  8 Si 2.53, 4 Be 2.54
Cr  0.0000  0.0000  0.5000  4 Cr 2.54, 8 Si 2.56
Si  0.5000  0.5000  0.2472  4 Be 2.53, 4 Si 2.54, 4 Cr 2.56
Si  0.5000  0.5000  0.7528  4 Be 2.53, 4 Si 2.54, 4 Cr 2.56

Values from the calculation:
**Total magnetization**: 0.950 μB/f.u.
**Volume**: 47 Å³ per cell
**E**: -5.844 eV per atom
**Energy relative to the elements, uncorrected**: 0.20 eV per atom